[1]
Here is crystalline Li2CrCd at its relaxed geometry from Alexandria via LeMat-Bulk. Energies are from GGA-PBE.

```
Li2CrCd
1.0
3.261 0.000 0.000
0.000 4.691 0.000
0.000 0.000 4.714
Cd Cr Li
1 1 2
direct
0.500 0.000 0.500
0.000 0.500 0.500
0.000 0.000 0.000
0.500 0.500 0.000
```

Its symmetry is Pmmm, No. 47. The total magnetization comes out at 4.1 μB per cell. The formation energy is 0.219 eV per atom.



[2]
Here is crystalline LiYMnCl6 at its relaxed geometry from Alexandria via LeMat-Bulk. Energies are from GGA-PBE.

```
LiYMnCl6
1.0
6.480 0.000 0.000
-3.240 5.612 0.000
0.000 0.000 11.686
Li Y Mn Cl
2 2 2 12
direct
0.333 0.667 0.250
0.667 0.333 0.750
0.667 0.333 0.250
0.333 0.667 0.750
0.000 0.000 0.000
0.000 0.000 0.500
0.668 0.675 0.124
0.007 0.332 0.124
0.332 0.007 0.624
0.993 0.668 0.876
0.325 0.332 0.376
0.007 0.675 0.376
0.675 0.007 0.876
0.668 0.993 0.376
0.993 0.325 0.624
0.325 0.993 0.124
0.675 0.668 0.624
0.332 0.325 0.876
```

Its formation energy (no corrections) is -1.7327 eV per atom. Its symmetry is P-31c, No. 163. The total magnetization comes out at 10.0 μB per cell.



[3]
Here is crystalline Li8Mg3Tl2 at its relaxed geometry from Alexandria via LeMat-Bulk. Energies are from GGA-PBE.

```
Li8Mg3Tl2
1.0
-0.130 -1.176 5.628
-2.077 -7.916 -1.702
6.841 2.668 -0.229
Li Mg Tl
8 3 2
direct
0.847 0.578 0.156
0.153 0.422 0.844
0.802 0.222 0.443
0.198 0.778 0.557
0.542 0.564 0.751
0.542 0.187 0.751
0.458 0.813 0.249
0.458 0.436 0.249
0.500 0.000 0.000
0.000 0.182 0.000
0.000 0.818 0.000
0.279 0.202 0.405
0.721 0.798 0.595
```

Its symmetry is C2/m, No. 12. The total magnetization comes out at 0.0 μB per cell. The formation energy is -0.045 eV per atom.



[4]
Here is crystalline BeCdW at its relaxed geometry from Alexandria via LeMat-Bulk. Energies are from GGA-PBE.

```
BeCdW
1.0
2.823 0.000 0.000
-1.411 2.445 0.000
0.000 0.000 6.799
Be W Cd
1 1 1
direct
0.000 0.000 0.984
0.333 0.667 0.697
0.667 0.333 0.318
```

Its symmetry is P3m1, No. 156. The total magnetization comes out at 0.0 μB per cell. The formation energy is 0.542 eV per atom. As for the energy above the most stable polymorph in this dataset: 94 meV per atom.



Number 1 is which compound? Li2CrCd



Look up the total magnetization of the second one. 10.0 μB per cell